# TbCeRh | Alexandria | GGA-PBE | optimized geometry
data_TbCeRh
_chemical_formula_sum 'Tb4 Ce4 Rh4'
_cell_length_a 6.8587
_cell_length_b 6.8587
_cell_length_c 6.8587
_cell_angle_alpha 90.00
_cell_angle_beta 90.00
_cell_angle_gamma 90.00
_symmetry_space_group_name_H-M 'F -4 3 m'
_symmetry_Int_Tables_number 216
_symmetry_space_group_name_Hall 'F -4 2 3'
loop_
_atom_site_label
_atom_site_fract_x
_atom_site_fract_y
_atom_site_fract_z
Tb1 0.0000 0.0000 0.0000
Ce1 0.0000 0.0000 0.5000
Rh1 0.2500 0.2500 0.2500
# E in eV/atom: -6.3843
# Distance to the lowest polymorph of the same formula in eV per atom: 0.045
# Density of states at the Fermi level in states/eV/atom: 2.748
# ΔH_f (0 K) in meV per atom: -412.4

# Tb5CeRh4 | Alexandria | GGA-PBE | optimized geometry
data_Tb5CeRh4
_chemical_formula_sum 'Tb10 Ce2 Rh8'
_cell_length_a 18.3838
_cell_length_b 4.1195
_cell_length_c 7.4749
_cell_angle_alpha 90.00
_cell_angle_beta 113.95
_cell_angle_gamma 90.00
_symmetry_space_group_name_H-M 'C 1 2/m 1'
_symmetry_Int_Tables_number 12
loop_
_symmetry_equiv_pos_as_xyz
'x,y,z'
'-x,-y,-z'
'-x,y,-z'
'x,-y,z'
'x+1/2,y+1/2,z'
'-x+1/2,-y+1/2,-z'
'-x+1/2,y+1/2,-z'
'x+1/2,-y+1/2,z'
loop_
_atom_site_label
_atom_site_fract_x
_atom_site_fract_y
_atom_site_fract_z
Tb1 0.0000 0.0000 0.0000
Tb2 0.1652 0.5000 0.4195
Tb3 0.1652 0.5000 0.9106
Ce1 0.0000 0.0000 0.5000
Rh1 0.0000 0.5000 0.2557
Rh2 0.2002 0.0000 0.7001
# E in eV/atom: -6.4911
# Density of states at the Fermi level in states/eV/atom: 0.783
# ΔH_f (0 K) in meV per atom: -642.0

# TbCeTcRh | Alexandria | GGA-PBE | optimized geometry
data_TbCeTcRh
_chemical_formula_sum 'Tb4 Ce4 Tc4 Rh4'
_cell_length_a 6.9032
_cell_length_b 6.9032
_cell_length_c 6.9032
_cell_angle_alpha 90.00
_cell_angle_beta 90.00
_cell_angle_gamma 90.00
_symmetry_space_group_name_H-M 'F -4 3 m'
_symmetry_Int_Tables_number 216
_symmetry_space_group_name_Hall 'F -4 2 3'
loop_
_atom_site_label
_atom_site_fract_x
_atom_site_fract_y
_atom_site_fract_z
Tb1 0.0000 0.0000 0.0000
Ce1 0.0000 0.0000 0.5000
Tc1 0.2500 0.2500 0.7500
Rh1 0.2500 0.2500 0.2500
# E in eV/atom: -7.4200
# Density of states at the Fermi level in states/eV/atom: 0.752
# ΔH_f (0 K) in meV per atom: -349.6

# TbCeZnRh | Alexandria | GGA-PBE | optimized geometry
data_TbCeZnRh
_chemical_formula_sum 'Tb4 Ce4 Zn4 Rh4'
_cell_length_a 7.0682
_cell_length_b 7.0682
_cell_length_c 7.0682
_cell_angle_alpha 90.00
_cell_angle_beta 90.00
_cell_angle_gamma 90.00
_symmetry_space_group_name_H-M 'F -4 3 m'
_symmetry_Int_Tables_number 216
_symmetry_space_group_name_Hall 'F -4 2 3'
loop_
_atom_site_label
_atom_site_fract_x
_atom_site_fract_y
_atom_site_fract_z
Tb1 0.0000 0.0000 0.0000
Ce1 0.0000 0.0000 0.5000
Zn1 0.2500 0.2500 0.2500
Rh1 0.2500 0.2500 0.7500
# E in eV/atom: -5.2795
# Density of states at the Fermi level in states/eV/atom: 1.625
# ΔH_f (0 K) in meV per atom: -482.1

# Ce4TcRh | Alexandria | GGA-PBE | optimized geometry
data_Ce4TcRh
_chemical_formula_sum 'Ce8 Tc2 Rh2'
_cell_length_a 5.8062
_cell_length_b 6.4364
_cell_length_c 7.6155
_cell_angle_alpha 90.00
_cell_angle_beta 100.72
_cell_angle_gamma 90.00
_symmetry_space_group_name_H-M 'P 1 21/m 1'
_symmetry_Int_Tables_number 11
loop_
_symmetry_equiv_pos_as_xyz
'x,y,z'
'-x,-y,-z'
'-x,y+1/2,-z'
'x,-y+1/2,z'
loop_
_atom_site_label
_atom_site_fract_x
_atom_site_fract_y
_atom_site_fract_z
Ce1 0.1523 0.2500 0.0838
Ce2 0.2116 0.7500 0.3478
Ce3 0.2994 0.5210 0.6992
Tc1 0.2329 0.2500 0.4105
Rh1 0.3659 0.7500 0.0372
# E in eV/atom: -7.1960
# Distance to the lowest polymorph of the same formula in eV per atom: 0.000
# Density of states at the Fermi level in states/eV/atom: 2.338
# ΔH_f (0 K) in meV per atom: -287.1

# Ce6Tc3Rh | Alexandria | GGA-PBE | optimized geometry
data_Ce6Tc3Rh
_chemical_formula_sum 'Ce12 Tc6 Rh2'
_cell_length_a 7.0333
_cell_length_b 7.0756
_cell_length_c 11.8582
_cell_angle_alpha 90.00
_cell_angle_beta 124.13
_cell_angle_gamma 90.00
_symmetry_space_group_name_H-M 'P 1 21/c 1'
_symmetry_Int_Tables_number 14
loop_
_symmetry_equiv_pos_as_xyz
'x,y,z'
'-x,-y,-z'
'-x,y+1/2,-z+1/2'
'x,-y+1/2,z+1/2'
loop_
_atom_site_label
_atom_site_fract_x
_atom_site_fract_y
_atom_site_fract_z
Ce1 0.0448 0.0268 0.2583
Ce2 0.2576 0.6705 0.0890
Ce3 0.3981 0.1509 0.0599
Tc1 0.0000 0.0000 0.0000
Tc2 0.2138 0.1573 0.7140
Rh1 0.5000 0.0000 0.5000
# E in eV/atom: -7.5326
# Density of states at the Fermi level in states/eV/atom: 1.636
# ΔH_f (0 K) in meV per atom: -127.3

# Ce8Tc2Rh | Alexandria | GGA-PBE | optimized geometry
data_Ce8Tc2Rh
_chemical_formula_sum 'Ce16 Tc4 Rh2'
_cell_length_a 17.5796
_cell_length_b 4.5072
_cell_length_c 6.6239
_cell_angle_alpha 90.00
_cell_angle_beta 99.49
_cell_angle_gamma 90.00
_symmetry_space_group_name_H-M 'C 1 2/m 1'
_symmetry_Int_Tables_number 12
loop_
_symmetry_equiv_pos_as_xyz
'x,y,z'
'-x,-y,-z'
'-x,y,-z'
'x,-y,z'
'x+1/2,y+1/2,z'
'-x+1/2,-y+1/2,-z'
'-x+1/2,y+1/2,-z'
'x+1/2,-y+1/2,z'
loop_
_atom_site_label
_atom_site_fract_x
_atom_site_fract_y
_atom_site_fract_z
Ce1 0.0041 0.0000 0.2600
Ce2 0.0956 0.5000 0.4676
Ce3 0.1598 0.5000 0.9796
Ce4 0.2197 0.0000 0.2671
Tc1 0.1627 0.0000 0.6784
Rh1 0.0000 0.5000 0.0000
# E in eV/atom: -7.0079
# Density of states at the Fermi level in states/eV/atom: 2.163
# ΔH_f (0 K) in meV per atom: -139.3

# Ce3TcRh | Alexandria | GGA-PBE | optimized geometry
data_Ce3TcRh
_chemical_formula_sum 'Ce12 Tc4 Rh4'
_cell_length_a 11.6962
_cell_length_b 4.4705
_cell_length_c 9.1672
_cell_angle_alpha 90.00
_cell_angle_beta 114.93
_cell_angle_gamma 90.00
_symmetry_space_group_name_H-M 'C 1 2/m 1'
_symmetry_Int_Tables_number 12
loop_
_symmetry_equiv_pos_as_xyz
'x,y,z'
'-x,-y,-z'
'-x,y,-z'
'x,-y,z'
'x+1/2,y+1/2,z'
'-x+1/2,-y+1/2,-z'
'-x+1/2,y+1/2,-z'
'x+1/2,-y+1/2,z'
loop_
_atom_site_label
_atom_site_fract_x
_atom_site_fract_y
_atom_site_fract_z
Ce1 0.0325 0.0000 0.3397
Ce2 0.0915 0.5000 0.8745
Ce3 0.2471 0.5000 0.2857
Tc1 0.1399 0.5000 0.5706
Rh1 0.1343 0.0000 0.0958
# E in eV/atom: -7.3906
# Distance to the lowest polymorph of the same formula in eV per atom: 0.012
# Density of states at the Fermi level in states/eV/atom: 1.913
# ΔH_f (0 K) in meV per atom: -286.8

# Ce2TcRh | Alexandria | GGA-PBE | optimized geometry
data_Ce2TcRh
_chemical_formula_sum 'Ce2 Tc1 Rh1'
_cell_length_a 3.4789
_cell_length_b 3.4789
_cell_length_c 6.8714
_cell_angle_alpha 90.00
_cell_angle_beta 90.00
_cell_angle_gamma 90.00
_symmetry_space_group_name_H-M 'P 4/m m m'
_symmetry_Int_Tables_number 123
_symmetry_space_group_name_Hall '-P 4 2'
loop_
_atom_site_label
_atom_site_fract_x
_atom_site_fract_y
_atom_site_fract_z
Ce1 0.0000 0.0000 0.2498
Tc1 0.5000 0.5000 0.0000
Rh1 0.5000 0.5000 0.5000
# E in eV/atom: -7.7465
# Density of states at the Fermi level in states/eV/atom: 1.169
# ΔH_f (0 K) in meV per atom: -350.2

# Ce4TcRh | Alexandria | GGA-PBE | optimized geometry
data_Ce4TcRh
_chemical_formula_sum 'Ce16 Tc4 Rh4'
_cell_length_a 8.3536
_cell_length_b 14.2182
_cell_length_c 6.6337
_cell_angle_alpha 90.00
_cell_angle_beta 127.48
_cell_angle_gamma 90.00
_symmetry_space_group_name_H-M 'C 1 2/c 1'
_symmetry_Int_Tables_number 15
loop_
_symmetry_equiv_pos_as_xyz
'x,y,z'
'-x,-y,-z'
'-x,y,-z+1/2'
'x,-y,z+1/2'
'x+1/2,y+1/2,z'
'-x+1/2,-y+1/2,-z'
'-x+1/2,y+1/2,-z+1/2'
'x+1/2,-y+1/2,z+1/2'
loop_
_atom_site_label
_atom_site_fract_x
_atom_site_fract_y
_atom_site_fract_z
Ce1 0.2123 0.2171 0.1990
Ce2 0.2478 0.4466 0.2573
Tc1 0.0000 0.0994 0.2500
Rh1 0.0000 0.4064 0.7500
# E in eV/atom: -7.0967
# Distance to the lowest polymorph of the same formula in eV per atom: 0.099
# Density of states at the Fermi level in states/eV/atom: 2.873
# ΔH_f (0 K) in meV per atom: -187.8

# Ce7Tc2Rh2 | Alexandria | GGA-PBE | optimized geometry
data_Ce7Tc2Rh2
_chemical_formula_sum 'Ce14 Tc4 Rh4'
_cell_length_a 10.7916
_cell_length_b 7.5127
_cell_length_c 6.6976
_cell_angle_alpha 90.00
_cell_angle_beta 90.35
_cell_angle_gamma 90.00
_symmetry_space_group_name_H-M 'C 1 2/m 1'
_symmetry_Int_Tables_number 12
loop_
_symmetry_equiv_pos_as_xyz
'x,y,z'
'-x,-y,-z'
'-x,y,-z'
'x,-y,z'
'x+1/2,y+1/2,z'
'-x+1/2,-y+1/2,-z'
'-x+1/2,y+1/2,-z'
'x+1/2,-y+1/2,z'
loop_
_atom_site_label
_atom_site_fract_x
_atom_site_fract_y
_atom_site_fract_z
Ce1 0.0000 0.0000 0.0000
Ce2 0.0014 0.5000 0.2926
Ce3 0.2494 0.2496 0.7058
Tc1 0.0000 0.1619 0.5000
Rh1 0.2017 0.5000 0.9990
# E in eV/atom: -7.1131
# Density of states at the Fermi level in states/eV/atom: 2.504
# ΔH_f (0 K) in meV per atom: -115.6

# Ce3TcRh | Alexandria | GGA-PBE | optimized geometry
data_Ce3TcRh
_chemical_formula_sum 'Ce12 Tc4 Rh4'
_cell_length_a 15.4987
_cell_length_b 4.4536
_cell_length_c 7.4008
_cell_angle_alpha 90.00
_cell_angle_beta 116.56
_cell_angle_gamma 90.00
_symmetry_space_group_name_H-M 'C 1 2/m 1'
_symmetry_Int_Tables_number 12
loop_
_symmetry_equiv_pos_as_xyz
'x,y,z'
'-x,-y,-z'
'-x,y,-z'
'x,-y,z'
'x+1/2,y+1/2,z'
'-x+1/2,-y+1/2,-z'
'-x+1/2,y+1/2,-z'
'x+1/2,-y+1/2,z'
loop_
_atom_site_label
_atom_site_fract_x
_atom_site_fract_y
_atom_site_fract_z
Ce1 0.0522 0.0000 0.2084
Ce2 0.0696 0.5000 0.7777
Ce3 0.2472 0.0000 0.7292
Tc1 0.1903 0.0000 0.0409
Rh1 0.1495 0.5000 0.5062
# E in eV/atom: -7.4027
# Distance to the lowest polymorph of the same formula in eV per atom: 0.000
# Density of states at the Fermi level in states/eV/atom: 1.434
# ΔH_f (0 K) in meV per atom: -298.9